DFT (GGA+U) results for crystalline BaFeIO2 at its relaxed geometry.

Distance to the lowest polymorph of the same formula (meV per atom): 1577.9
Theoretical density (Mg/m³): 3.9

Cell lengths 4.5322, 4.5322, 7.2115 Å; angles 90.00, 90.00, 90.00 degrees
Each line ends with the local moment (μB).
Sites, in units of the cell vectors:
I: 0.0000 0.0000 0.5000  0.04
O: 0.5000 0.0000 0.0000  0.01
Ba: 0.0000 0.0000 0.0000  0.00
Fe: 0.5000 0.5000 0.5000  3.78
O: 0.0000 0.5000 0.0000  0.01